Computed, not measured: a relaxed Y2ScP crystal at the PBE level of DFT.

Crystal system: trigonal
Magnetization in μB/f.u.: 1.033
Electronic total energy in Ry/atom: -0.4996

a = 3.7661 Å, b = 3.7661 Å, c = 26.9916 Å
α = 90.00°, β = 90.00°, γ = 120.00°
Closest atoms and distances in Å follow each position.
Space group R-3m (No. 166, hexagonal axes)
Symmetry-distinct sites (fractional):
Y  0.0000  0.0000  0.2282 (multiplicity 6)  3 P 2.74
Sc  0.0000  0.0000  0.0000 (multiplicity 3)  6 Y 3.57, 6 Sc 3.77
P  0.0000  0.0000  0.5000 (multiplicity 3)  6 Y 2.74

Computed, not measured: a relaxed P3C crystal at the PBE level of DFT.

Crystal system: hexagonal
ΔE to the lowest computed polymorph in eV/atom: 0.728
Magnetization in μB/f.u.: 0.000

a = 8.2605 Å, b = 8.2605 Å, c = 3.5127 Å
α = 90.00°, β = 90.00°, γ = 120.00°
Closest atoms and distances in Å follow each position.
Space group P6_3/mmc (No. 194)
Symmetry-distinct sites (fractional):
P  0.2465  0.4931  0.2500 (multiplicity 6)  2 P 2.15, 2 C 2.15
C  0.3333  0.6667  0.7500 (multiplicity 2)  6 P 2.15

Computed, not measured: a relaxed LaZn2Ga4 crystal at the PBE level of DFT.

Crystal system: orthorhombic
Magnetization in μB/f.u.: 0.000
Electronic total energy in Ry/atom: -0.2283

a = 4.8313 Å, b = 12.8273 Å, c = 4.4503 Å
α = 90.00°, β = 90.00°, γ = 90.00°
Closest atoms and distances in Å follow each position.
Space group Cmmm (No. 65)
Symmetry-distinct sites (fractional):
La  0.0000  0.0000  0.0000 (multiplicity 2)  8 Ga 3.21-3.50, 8 Zn 3.50
Zn  0.0000  0.4057  0.5000 (multiplicity 4)  1 Zn 2.42, 4 Ga 2.59-2.66
Ga  0.0000  0.1808  0.5000 (multiplicity 4)  3 Zn 2.66-2.88, 2 Ga 2.72
Ga  0.0000  0.3031  0.0000 (multiplicity 4)  2 Zn 2.59, 4 Ga 2.72-2.77

Computed, not measured: a relaxed Er2ScGa3 crystal at the PBE level of DFT.

Crystal system: trigonal
ΔE to the lowest computed polymorph in eV/atom: 0.000
Magnetization in μB/f.u.: 0.000

a = 4.9186 Å, b = 4.9186 Å, c = 12.0971 Å
α = 90.00°, β = 90.00°, γ = 120.00°
Closest atoms and distances in Å follow each position.
Space group P-3m1 (No. 164)
Symmetry-distinct sites (fractional):
Er  0.0000  0.0000  0.0000 (multiplicity 1)  8 Ga 3.02-3.07
Er  0.0000  0.0000  0.5000 (multiplicity 1)  8 Ga 2.98-3.01
Er  0.3333  0.6667  0.1714 (multiplicity 2)  8 Ga 2.99-3.11
Sc  0.3333  0.6667  0.6660 (multiplicity 2)  8 Ga 2.99-3.02
Ga  0.0000  0.0000  0.2540 (multiplicity 2)  5 Er 2.98-3.07, 3 Sc 3.00
Ga  0.3333  0.6667  0.4187 (multiplicity 2)  4 Er 2.99-3.01, 4 Sc 2.99-3.02
Ga  0.3333  0.6667  0.9142 (multiplicity 2)  1 Sc 3.00, 7 Er 3.02-3.11

Computed, not measured: a relaxed Tb2BrO2 crystal at the PBE level of DFT.

Crystal system: monoclinic
Magnetization in μB/f.u.: 0.919
Uncorrected formation energy in kJ per mole of atoms: -273.9

a = 5.7499 Å, b = 5.7499 Å, c = 6.4484 Å
α = 90.00°, β = 116.20°, γ = 90.00°
Closest atoms and distances in Å follow each position.
Space group C2/m (No. 12)
Symmetry-distinct sites (fractional):
Tb  0.1622  0.0000  0.3227 (multiplicity 4)  4 O 2.28
Br  0.0000  0.5000  0.0000 (multiplicity 2)  8 Tb 3.42-3.44, 8 O 3.53-3.54
O  0.0000  0.2499  0.5000 (multiplicity 4)  4 Tb 2.28

Computed, not measured: a relaxed Ta3Nb3Rh crystal at the PBE level of DFT.

Crystal system: trigonal
ΔE to the lowest computed polymorph in eV/atom: 0.000
Magnetization in μB/f.u.: 0.000

a = 8.8115 Å, b = 8.8115 Å, c = 5.9652 Å
α = 90.00°, β = 90.00°, γ = 120.00°
Closest atoms and distances in Å follow each position.
Space group R3m (No. 160, hexagonal axes)
Symmetry-distinct sites (fractional):
Ta  0.0549  0.5274  0.0000 (multiplicity 9)  1 Rh 2.51, 2 Nb 2.79
Nb  0.0640  0.5320  0.4901 (multiplicity 9)  1 Rh 2.67, 5 Ta 2.79-2.92
Rh  0.0000  0.0000  0.1083 (multiplicity 3)  3 Ta 2.51, 3 Nb 2.67

Computed, not measured: a relaxed NaCdHg2Pt crystal at the PBE level of DFT.

Crystal system: tetragonal
Magnetization in μB/f.u.: 0.000
Electronic total energy in Ry/atom: -0.1409

a = 5.3304 Å, b = 5.3304 Å, c = 5.2450 Å
α = 90.00°, β = 90.00°, γ = 90.00°
Closest atoms and distances in Å follow each position.
Space group P4/mmm (No. 123)
Symmetry-distinct sites (fractional):
Na  0.0000  0.0000  0.0000 (multiplicity 1)  8 Hg 3.74, 4 Cd 3.77
Cd  0.5000  0.5000  0.0000 (multiplicity 1)  2 Pt 2.62
Hg  0.0000  0.5000  0.5000 (multiplicity 2)  2 Pt 2.67
Pt  0.5000  0.5000  0.5000 (multiplicity 1)  2 Cd 2.62, 4 Hg 2.67

Computed, not measured: a relaxed Nd4Ho2Er crystal at the PBE level of DFT.

Crystal system: monoclinic
ΔE to the lowest computed polymorph in eV/atom: 0.067
Magnetization in μB/f.u.: 0.000

a = 6.2445 Å, b = 6.6585 Å, c = 11.6156 Å
α = 90.00°, β = 104.58°, γ = 90.00°
Closest atoms and distances in Å follow each position.
Space group P2_1/m (No. 11)
Symmetry-distinct sites (fractional):
Nd  0.0438  0.2500  0.3657 (multiplicity 2)  3 Er 3.36-3.53, 2 Nd 3.39, 3 Ho 3.41-3.47
Nd  0.1509  0.2500  0.9510 (multiplicity 2)  1 Er 3.33, 4 Ho 3.42-3.48, 4 Nd 3.48-3.62
Nd  0.3538  0.5108  0.2155 (multiplicity 4)  4 Nd 3.19-3.48, 1 Er 3.46, 1 Ho 3.52
Ho  0.2880  0.7500  0.9220 (multiplicity 2)  9 Nd 3.42-3.69
Ho  0.3900  0.7500  0.5057 (multiplicity 2)  6 Nd 3.41-3.68, 1 Er 3.44, 2 Ho 3.62
Er  0.1487  0.2500  0.6637 (multiplicity 2)  6 Nd 3.33-3.53, 1 Ho 3.44

Computed, not measured: a relaxed Gd2ErIn crystal at the PBE level of DFT.

Crystal system: tetragonal
ΔE to the lowest computed polymorph in eV/atom: 0.070
Magnetization in μB/f.u.: 14.711

a = 3.5864 Å, b = 3.5864 Å, c = 9.2670 Å
α = 90.00°, β = 90.00°, γ = 90.00°
Closest atoms and distances in Å follow each position.
Space group P4/mmm (No. 123)
Symmetry-distinct sites (fractional):
Gd  0.0000  0.0000  0.2298 (multiplicity 2)  4 In 3.31, 4 Er 3.56, 4 Gd 3.59
Er  0.5000  0.5000  0.5000 (multiplicity 1)  8 Gd 3.56, 4 Er 3.59
In  0.5000  0.5000  0.0000 (multiplicity 1)  8 Gd 3.31, 4 In 3.59

Computed, not measured: a relaxed Ca2Cu2HgPd5 crystal at the PBE level of DFT.

Crystal system: tetragonal
Magnetization in μB/f.u.: 0.000
Electronic total energy in Ry/atom: -0.3174

a = 9.5337 Å, b = 9.5337 Å, c = 3.9444 Å
α = 90.00°, β = 90.00°, γ = 90.00°
Closest atoms and distances in Å follow each position.
Space group P4/mbm (No. 127)
Symmetry-distinct sites (fractional):
Ca  0.1767  0.3233  0.0000 (multiplicity 4)  3 Cu 2.74-2.88
Cu  0.1197  0.6197  0.0000 (multiplicity 4)  6 Pd 2.55-2.60, 1 Ca 2.74
Hg  0.0000  0.0000  0.0000 (multiplicity 2)  8 Pd 2.88
Pd  0.0000  0.5000  0.5000 (multiplicity 2)  4 Cu 2.55, 4 Pd 2.84
Pd  0.0679  0.7902  0.5000 (multiplicity 8)  2 Cu 2.60, 1 Pd 2.84, 2 Hg 2.88

Computed, not measured: a relaxed Cs2SbRh2 crystal at the PBE level of DFT.

Crystal system: tetragonal
ΔE to the lowest computed polymorph in eV/atom: 0.910
Magnetization in μB/f.u.: 1.473
Uncorrected formation energy in kJ per mole of atoms: 101.5

a = 4.8042 Å, b = 4.8042 Å, c = 13.1432 Å
α = 90.00°, β = 90.00°, γ = 90.00°
Closest atoms and distances in Å follow each position.
Space group I4/mmm (No. 139)
Symmetry-distinct sites (fractional):
Cs  0.0000  0.5000  0.2500 (multiplicity 4)  4 Rh 3.18, 4 Cs 3.40
Sb  0.0000  0.0000  0.0000 (multiplicity 2)  8 Rh 3.60
Rh  0.0000  0.0000  0.4085 (multiplicity 4)  1 Rh 2.40

Computed, not measured: a relaxed BaZn3O crystal at the PBE level of DFT.

Crystal system: cubic
ΔE to the lowest computed polymorph in eV/atom: 0.000
Magnetization in μB/f.u.: 0.000
Uncorrected formation energy in kJ per mole of atoms: 0.5

a = 4.8194 Å, b = 4.8194 Å, c = 4.8194 Å
α = 90.00°, β = 90.00°, γ = 90.00°
Closest atoms and distances in Å follow each position.
Space group Pm-3m (No. 221)
Symmetry-distinct sites (fractional):
Ba  0.0000  0.0000  0.0000 (multiplicity 1)  12 Zn 3.41
Zn  0.0000  0.5000  0.5000 (multiplicity 3)  2 O 2.41
O  0.5000  0.5000  0.5000 (multiplicity 1)  6 Zn 2.41